Material: KFeTc2
Method: DFT, meta-GGA SCAN
State: PBEsol geometry

Results
energy relative to the elements = 841 meV per atom
symmetry = P2/m, No. 10
calculated density = 6.7 g cm⁻³
polymorph energy (0 for the lowest one) = 0 meV/atom

```
KFeTc2
1.0
2.588 0.000 0.000
0.000 3.399 0.000
-0.096 0.000 8.256
K Fe Tc
1 1 2
direct
0.000 0.000 0.000
0.000 0.000 0.500
0.494 0.500 0.347
0.506 0.500 0.653
```